Crystalline TiTlBi2Te at its relaxed geometry, computed with PBE.

a = 5.802 Å, b = 5.802 Å, c = 5.289 Å
α = 90.00°, β = 90.00°, γ = 90.00°
Space group P4/mmm (No. 123)
Asymmetric unit:
Ti  0.000  0.000  0.000 (multiplicity 1)
Tl  0.000  0.000  0.500 (multiplicity 1)
Bi  0.000  0.500  0.500 (multiplicity 2)
Te  0.500  0.500  0.000 (multiplicity 1)

Formation energy from raw total energies in eV/atom: 0.965
Crystal system: tetragonal

Crystalline TiVTcGe at its relaxed geometry, computed with PBE.

a = 6.141 Å, b = 6.141 Å, c = 6.141 Å
α = 90.00°, β = 90.00°, γ = 90.00°
Space group F-43m (No. 216)
Asymmetric unit:
Ti  0.000  0.000  0.000 (multiplicity 4)
V  0.250  0.250  0.750 (multiplicity 4)
Tc  0.000  0.000  0.500 (multiplicity 4)
Ge  0.250  0.250  0.250 (multiplicity 4)

DFT formation energy in eV per atom: -0.298
Crystal system: cubic

Let's list D(E_F) in order: 10.1; 15.9 states/eV/cell.
Let's list total moment in order: 0.212; 1.085 μB/f.u..